Entry 1:
Here is an optimized crystal structure of TaCoOs from Alexandria. Energies are from PBE.

Properties
Formation energy from the elements   0.019 eV per atom
N(E_F)   1.24 states/eV per atom
Total DFT energy (no corrections)   -10.04 eV per atom

a b c (Å): 4.3240 4.3240 2.7135
angles (deg): 90.00 90.00 120.00
Space group P3m1 (No. 156)
Unique sites:
1 Ta 0.0000 0.0000 0.0000 x1
2 Co 0.6667 0.3333 0.2566 x1
3 Os 0.3333 0.6667 0.6648 x1

=====

Entry 2:
Here is an optimized crystal structure of TaCoOs3 from Alexandria. Energies are from PBE.

Properties
Formation energy from the elements   2.506 eV per atom
N(E_F)   1.59 states/eV per atom
Total DFT energy (no corrections)   -8.02 eV per atom

a b c (Å): 4.724 4.724 4.724
angles (deg): 90.00 90.00 90.00
Space group Pm-3m (No. 221)
Unique sites:
1 Ta 0.000 0.000 0.000 x1
2 Co 0.500 0.500 0.500 x1
3 Os 0.000 0.000 0.500 x3

=====

Entry 3:
Here is an optimized crystal structure of TaCoOs2 from Alexandria. Energies are from PBE.

Properties
Formation energy from the elements   0.096 eV per atom
N(E_F)   1.25 states/eV per atom
Total DFT energy (no corrections)   -10.26 eV per atom

a b c (Å): 2.758 2.758 7.525
angles (deg): 90.00 90.00 90.00
Space group P4/mmm (No. 123)
Unique sites:
1 Ta 0.000 0.000 0.000 x1
2 Co 0.000 0.000 0.500 x1
3 Os 0.500 0.500 0.279 x2

=====

Entry 4:
Here is an optimized crystal structure of TaCoOs2 from Alexandria. Energies are from PBE.

Properties
Formation energy from the elements   -0.029 eV per atom
N(E_F)   0.80 states/eV per atom
Total DFT energy (no corrections)   -10.38 eV per atom

a b c (Å): 4.637 2.785 4.683
angles (deg): 90.00 108.45 90.00
Space group P2/m (No. 10)
Unique sites:
1 Ta 0.000 0.000 0.000 x1
2 Co 0.000 0.500 0.500 x1
3 Os 0.500 0.000 0.500 x1
4 Os 0.500 0.500 0.000 x1

=====

Entry 5:
Here is an optimized crystal structure of TaCo2Os from Alexandria. Energies are from PBE.

Properties
Formation energy from the elements   -0.024 eV per atom
N(E_F)   1.01 states/eV per atom
Total DFT energy (no corrections)   -9.35 eV per atom

a b c (Å): 8.680 2.705 4.615
angles (deg): 90.00 99.92 90.00
Space group Cm (No. 8)
Unique sites:
1 Ta 0.000 0.000 0.000 x2
2 Co 0.002 0.500 0.508 x2
3 Co 0.248 0.000 0.762 x2
4 Os 0.261 0.500 0.316 x2

=====

Entry 6:
Here is an optimized crystal structure of TaCoOs from Alexandria. Energies are from PBE.

Properties
Formation energy from the elements   -0.284 eV per atom
N(E_F)   0.74 states/eV per atom
Total DFT energy (no corrections)   -10.35 eV per atom

a b c (Å): 4.2708 4.2708 5.3425
angles (deg): 90.00 90.00 120.00
Space group P6_3/mmc (No. 194)
Unique sites:
1 Ta 0.3333 0.6667 0.2500 x2
2 Co 0.3333 0.6667 0.7500 x2
3 Os 0.0000 0.0000 0.0000 x2

=====

Entry 7:
Here is an optimized crystal structure of Ta2CoOs from Alexandria. Energies are from PBE.

Properties
Formation energy from the elements   0.004 eV per atom
N(E_F)   0.94 states/eV per atom
Total DFT energy (no corrections)   -10.51 eV per atom

a b c (Å): 6.248 6.248 6.248
angles (deg): 90.00 90.00 90.00
Space group F-43m (No. 216)
Unique sites:
1 Ta 0.000 0.000 0.000 x4
2 Ta 0.250 0.250 0.250 x4
3 Co 0.250 0.250 0.750 x4
4 Os 0.000 0.000 0.500 x4

=====

Entry 8:
Here is an optimized crystal structure of TaCo2Os from Alexandria. Energies are from PBE.

Properties
Formation energy from the elements   -0.061 eV per atom
N(E_F)   0.73 states/eV per atom
Total DFT energy (no corrections)   -9.38 eV per atom

a b c (Å): 5.309 7.335 2.705
angles (deg): 90.00 90.00 90.00
Space group Cmmm (No. 65)
Unique sites:
1 Ta 0.000 0.000 0.000 x2
2 Co 0.250 0.250 0.500 x4
3 Os 0.000 0.500 0.000 x2

=====

Entry 9:
Here is an optimized crystal structure of TaCo2Os from Alexandria. Energies are from PBE.

Properties
Formation energy from the elements   -0.030 eV per atom
N(E_F)   1.13 states/eV per atom
Total DFT energy (no corrections)   -9.35 eV per atom

a b c (Å): 3.132 3.132 5.540
angles (deg): 90.00 90.00 90.00
Space group P4mm (No. 99)
Unique sites:
1 Ta 0.000 0.000 0.000 x1
2 Co 0.000 0.000 0.463 x1
3 Co 0.500 0.500 0.259 x1
4 Os 0.500 0.500 0.721 x1

=====

Entry 10:
Here is an optimized crystal structure of Ta2CoOs from Alexandria. Energies are from PBE.

Properties
Formation energy from the elements   0.132 eV per atom
N(E_F)   0.81 states/eV per atom
Total DFT energy (no corrections)   -10.38 eV per atom

a b c (Å): 3.0529 3.0529 23.6307
angles (deg): 90.00 90.00 120.00
Space group R-3m (No. 166, hexagonal axes)
Unique sites:
1 Ta 0.0000 0.0000 0.2456 x6
2 Co 0.0000 0.0000 0.5000 x3
3 Os 0.0000 0.0000 0.0000 x3

=====

Entry 11:
Here is an optimized crystal structure of TaCoOs2 from Alexandria. Energies are from PBE.

Properties
Formation energy from the elements   -0.109 eV per atom
N(E_F)   0.93 states/eV per atom
Total DFT energy (no corrections)   -10.46 eV per atom

a b c (Å): 3.858 3.858 7.673
angles (deg): 90.00 90.00 90.00
Space group I-4m2 (No. 119)
Unique sites:
1 Ta 0.000 0.000 0.000 x2
2 Co 0.000 0.500 0.750 x2
3 Os 0.000 0.000 0.500 x2
4 Os 0.000 0.500 0.250 x2

=====

Entry 12:
Here is an optimized crystal structure of TaCoOs2 from Alexandria. Energies are from PBE.

Properties
Formation energy from the elements   -0.058 eV per atom
N(E_F)   0.76 states/eV per atom
Total DFT energy (no corrections)   -10.41 eV per atom

a b c (Å): 2.769 3.783 5.485
angles (deg): 90.00 90.14 90.00
Space group Pm (No. 6)
Unique sites:
1 Ta 0.000 0.000 0.000 x1
2 Co 0.500 0.500 0.757 x1
3 Os 0.001 0.000 0.512 x1
4 Os 0.500 0.500 0.285 x1

=====

Entry 13:
Here is an optimized crystal structure of TaCo2Os from Alexandria. Energies are from PBE.

Properties
Formation energy from the elements   0.101 eV per atom
N(E_F)   2.06 states/eV per atom
Total DFT energy (no corrections)   -9.22 eV per atom

a b c (Å): 5.999 5.999 5.999
angles (deg): 90.00 90.00 90.00
Space group Fm-3m (No. 225)
Unique sites:
1 Ta 0.000 0.000 0.000 x4
2 Co 0.250 0.250 0.250 x8
3 Os 0.000 0.000 0.500 x4

=====

Entry 14:
Here is an optimized crystal structure of TaCoOs from Alexandria. Energies are from PBE.

Properties
Formation energy from the elements   0.070 eV per atom
N(E_F)   0.82 states/eV per atom
Total DFT energy (no corrections)   -9.99 eV per atom

a b c (Å): 8.524 10.074 6.141
angles (deg): 90.00 90.00 90.00
Space group Ima2 (No. 46)
Unique sites:
1 Ta 0.003 0.172 0.000 x8
2 Ta 0.250 0.042 0.492 x4
3 Co 0.000 0.000 0.279 x4
4 Co 0.055 0.607 0.138 x8
5 Os 0.250 0.249 0.239 x4
6 Os 0.250 0.512 0.466 x4
7 Os 0.250 0.707 0.809 x4

=====

Entry 15:
Here is an optimized crystal structure of Ta2CoOs from Alexandria. Energies are from PBE.

Properties
Formation energy from the elements   0.236 eV per atom
N(E_F)   1.30 states/eV per atom
Total DFT energy (no corrections)   -10.27 eV per atom

a b c (Å): 2.7918 2.7918 27.6806
angles (deg): 90.00 90.00 120.00
Space group R3m (No. 160, hexagonal axes)
Unique sites:
1 Ta 0.0000 0.0000 0.0000 x3
2 Ta 0.0000 0.0000 0.2377 x3
3 Co 0.0000 0.0000 0.7458 x3
4 Os 0.0000 0.0000 0.4852 x3